# PBE MnBN2, optimized geometry
data_MnBN2
_cell_length_a 5.702
_cell_length_b 5.702
_cell_length_c 5.702
_cell_angle_alpha 25.69
_cell_angle_beta 25.69
_cell_angle_gamma 25.69
_symmetry_space_group_name_H-M 'P 1'
_symmetry_Int_Tables_number 1
loop_
_symmetry_equiv_pos_as_xyz
'x,y,z'
loop_
_atom_site_label
_atom_site_type_symbol
_atom_site_fract_x
_atom_site_fract_y
_atom_site_fract_z
N1 N 0.890 0.890 0.890
N2 N 0.110 0.110 0.110
Mn1 Mn 0.000 0.000 0.000
B1 B 0.500 0.500 0.500
# Total magnetic moment, μB/cell: 0.00
# Formation energy (no corrections), eV per atom: 0.644